# 1
Material: PuNbAu
Method: DFT, PBE
State: optimized geometry

Lattice parameters (Å, degrees): 6.4258 6.4258 6.4258 90.00 90.00 90.00
With the nearest neighbours (Å) after each atom.
Space group F-43m (No. 216)
Unique sites:
Pu: 0.0000 0.0000 0.0000 x4  4 Nb 2.78
Nb: 0.2500 0.2500 0.7500 x4  4 Pu 2.78, 4 Au 2.78
Au: 0.0000 0.0000 0.5000 x4  4 Nb 2.78

Energy relative to the elements ... 0.4286 eV per atom
Polymorph energy (0 for the lowest one) ... 0 meV/atom
Total moment ... 20.45 Bohr magnetons per cell

***

# 2
Material: PrNpTe
Method: DFT, PBE
State: optimized geometry

Lattice parameters (Å, degrees): 7.3553 7.3553 7.3553 90.00 90.00 90.00
With the nearest neighbours (Å) after each atom.
Space group F-43m (No. 216)
Unique sites:
Pr: 0.0000 0.0000 0.0000 x4  4 Te 3.18
Np: 0.0000 0.0000 0.5000 x4  4 Te 3.18
Te: 0.2500 0.2500 0.7500 x4  4 Pr 3.18, 4 Np 3.18

Polymorph energy (0 for the lowest one) ... 0 meV/atom
Total moment ... 23.00 Bohr magnetons per cell

***

# 3
Material: DyGaB4
Method: DFT, PBE
State: optimized geometry

Lattice parameters (Å, degrees): 3.1586 3.1586 7.3305 90.00 90.00 120.00
With the nearest neighbours (Å) after each atom.
Space group P6/mmm (No. 191)
Unique sites:
Dy: 0.0000 0.0000 0.0000 x1  12 B 2.69
Ga: 0.0000 0.0000 0.5000 x1  12 B 2.48
B: 0.3333 0.6667 0.2706 x4  3 B 1.82

Polymorph energy (0 for the lowest one) ... 155 meV/atom
Total moment ... 0.01 Bohr magnetons per cell

***

# 4
Material: Na3Sm2Ir
Method: DFT, PBE
State: optimized geometry

Lattice parameters (Å, degrees): 5.3795 9.3851 6.4466 90.00 90.00 90.00
With the nearest neighbours (Å) after each atom.
Space group Cmmm (No. 65)
Unique sites:
Na: 0.0000 0.0000 0.0000 x2  4 Na 2.70
Na: 0.2500 0.2500 0.0000 x4  4 Na 2.69-2.70
Sm: 0.0000 0.1660 0.5000 x4  3 Ir 3.11-3.13, 3 Sm 3.12
Ir: 0.0000 0.5000 0.5000 x2  6 Sm 3.11-3.13

E_tot ... -3.21 eV per atom
Total moment ... 0.03 Bohr magnetons per cell

***

# 5
Material: SrBeNiGe
Method: DFT, PBE
State: optimized geometry

Lattice parameters (Å, degrees): 6.4783 6.4783 6.4783 90.00 90.00 90.00
With the nearest neighbours (Å) after each atom.
Space group F-43m (No. 216)
Unique sites:
Sr: 0.0000 0.0000 0.0000 x4  4 Ni 2.81, 4 Be 2.81
Be: 0.2500 0.2500 0.2500 x4  4 Ge 2.81, 4 Sr 2.81
Ni: 0.2500 0.2500 0.7500 x4  4 Ge 2.81, 4 Sr 2.81
Ge: 0.0000 0.0000 0.5000 x4  4 Ni 2.81, 4 Be 2.81

Polymorph energy (0 for the lowest one) ... 0 meV/atom
Total moment ... 0.00 Bohr magnetons per cell

***

# 6
Material: CsLuFeS3
Method: DFT, PBE
State: optimized geometry

Lattice parameters (Å, degrees): 16.5773 4.0676 8.8649 90.00 100.62 90.00
With the nearest neighbours (Å) after each atom.
Space group C2/m (No. 12)
Unique sites:
Cs: 0.1573 0.0000 0.0599 x4  7 S 3.27-3.38
Lu: 0.1615 0.0000 0.5629 x4  6 S 2.63-2.77
Fe: 0.0035 0.5000 0.7341 x4  2 S 2.33-2.37
S: 0.0000 0.0000 0.5000 x2  2 Lu 2.63, 4 Fe 2.90
S: 0.0000 0.5000 0.0000 x2  2 Fe 2.37
S: 0.1456 0.5000 0.7516 x4  1 Fe 2.33
S: 0.1685 0.5000 0.3664 x4  3 Lu 2.69-2.77, 1 Fe 2.83

Polymorph energy (0 for the lowest one) ... 253 meV/atom
Total moment ... 15.97 Bohr magnetons per cell

***

# 7
Material: TlFeIrW
Method: DFT, PBE
State: optimized geometry

Lattice parameters (Å, degrees): 6.3569 6.3569 6.3569 90.00 90.00 90.00
With the nearest neighbours (Å) after each atom.
Space group F-43m (No. 216)
Unique sites:
Tl: 0.0000 0.0000 0.0000 x4  4 Fe 2.75, 4 Ir 2.75
Fe: 0.2500 0.2500 0.2500 x4  4 Tl 2.75, 4 W 2.75
Ir: 0.2500 0.2500 0.7500 x4  4 Tl 2.75, 4 W 2.75
W: 0.0000 0.0000 0.5000 x4  4 Fe 2.75, 4 Ir 2.75

Polymorph energy (0 for the lowest one) ... 0 meV/atom
Total moment ... 8.47 Bohr magnetons per cell

***

# 8
Material: Dy2ErTm2Lu2Ni2Te2
Method: DFT, PBE
State: optimized geometry

Lattice parameters (Å, degrees): 3.8172 15.3990 9.4998 90.00 90.00 90.00
With the nearest neighbours (Å) after each atom.
Space group Imm2 (No. 44)
Unique sites:
Dy: 0.0000 0.1341 0.0000 x4  2 Ni 2.78
Er: 0.0000 0.0000 0.4190 x2  3 Te 3.15-3.18
Tm: 0.0000 0.3532 0.1468 x4  2 Ni 2.78
Lu: 0.0000 0.3150 0.7971 x4  2 Ni 2.74
Ni: 0.0000 0.2345 0.4880 x4  2 Lu 2.74, 2 Tm 2.78, 2 Dy 2.78
Te: 0.0000 0.0000 0.7540 x2  2 Dy 3.12, 4 Tm 3.13, 1 Er 3.18
Te: 0.0000 0.5000 0.6557 x2  2 Er 3.15, 2 Lu 3.15, 4 Dy 3.18

Polymorph energy (0 for the lowest one) ... 2 meV/atom
Total moment ... 0.05 Bohr magnetons per cell

***

# 9
Material: Lu2CdIr
Method: DFT, PBE
State: optimized geometry

Lattice parameters (Å, degrees): 6.8360 6.8360 6.8360 90.00 90.00 90.00
With the nearest neighbours (Å) after each atom.
Space group F-43m (No. 216)
Unique sites:
Lu: 0.0000 0.0000 0.0000 x4  4 Ir 2.96, 4 Lu 2.96
Lu: 0.2500 0.2500 0.2500 x4  4 Cd 2.96, 4 Lu 2.96
Cd: 0.0000 0.0000 0.5000 x4  4 Ir 2.96, 4 Lu 2.96
Ir: 0.2500 0.2500 0.7500 x4  4 Cd 2.96, 4 Lu 2.96

Energy relative to the elements ... -0.3270 eV per atom
Total moment ... 0.02 Bohr magnetons per cell

***

# 10
Material: Sr2Fe
Method: DFT, PBE
State: optimized geometry

Lattice parameters (Å, degrees): 9.1843 9.1843 9.1843 90.00 90.00 90.00
With the nearest neighbours (Å) after each atom.
Space group Fd-3m (No. 227, origin choice 2)
Unique sites:
Sr: 0.0000 0.0000 0.0000 x16  6 Sr 3.25
Fe: 0.1250 0.1250 0.6250 x8  12 Sr 3.81, 4 Fe 3.98

E_tot ... -2.51 eV per atom
Total moment ... 18.19 Bohr magnetons per cell

***

# 11
Material: TmScSi2
Method: DFT, PBE
State: optimized geometry

Lattice parameters (Å, degrees): 3.7284 4.1051 10.1545 90.00 90.00 90.00
With the nearest neighbours (Å) after each atom.
Space group Amm2 (No. 38)
Unique sites:
Tm: 0.0000 0.0000 0.0000 x2  7 Si 2.83-3.04
Sc: 0.5000 0.0000 0.7197 x2  7 Si 2.84-3.01
Si: 0.0000 0.0000 0.2786 x2  2 Si 2.46
Si: 0.5000 0.0000 0.4369 x2  2 Si 2.46

E_tot ... -6.23 eV per atom
Total moment ... 0.02 Bohr magnetons per cell

***

# 12
Material: TaGa2N
Method: DFT, PBE
State: optimized geometry

Lattice parameters (Å, degrees): 2.9814 2.9814 14.2005 90.00 90.00 120.00
With the nearest neighbours (Å) after each atom.
Space group P6_3/mmc (No. 194)
Unique sites:
Ta: 0.3333 0.6667 0.2500 x2  6 Ga 2.86, 6 Ta 2.98
Ga: 0.3333 0.6667 0.5895 x4  3 N 2.14
N: 0.0000 0.0000 0.0000 x2  6 Ga 2.14

E_tot ... -6.48 eV per atom
Total moment ... 0.01 Bohr magnetons per cell

***

# 13
Material: Mg2BiAu
Method: DFT, PBE
State: optimized geometry

Lattice parameters (Å, degrees): 7.1558 7.1558 7.1558 90.00 90.00 90.00
With the nearest neighbours (Å) after each atom.
Space group F-43m (No. 216)
Unique sites:
Mg: 0.0000 0.0000 0.0000 x4  4 Au 3.10, 4 Mg 3.10
Mg: 0.2500 0.2500 0.2500 x4  4 Bi 3.10, 4 Mg 3.10
Bi: 0.0000 0.0000 0.5000 x4  4 Mg 3.10, 4 Au 3.10
Au: 0.2500 0.2500 0.7500 x4  4 Bi 3.10, 4 Mg 3.10

E_tot ... -2.70 eV per atom

***

# 14
Material: HfNbCu2Ge4
Method: DFT, PBE
State: optimized geometry

Lattice parameters (Å, degrees): 3.7421 3.7421 9.1173 90.00 90.00 90.00
With the nearest neighbours (Å) after each atom.
Space group P4mm (No. 99)
Unique sites:
Hf: 0.0000 0.0000 0.0000 x1  8 Ge 2.76-2.86, 4 Cu 3.07
Nb: 0.5000 0.5000 0.5369 x1  8 Ge 2.76-2.78, 4 Cu 3.09
Cu: 0.0000 0.5000 0.2667 x2  4 Ge 2.50, 4 Cu 2.65
Ge: 0.0000 0.0000 0.4493 x1  4 Cu 2.50, 4 Nb 2.76
Ge: 0.0000 0.5000 0.7626 x2  4 Ge 2.65, 2 Nb 2.78, 2 Hf 2.86
Ge: 0.5000 0.5000 0.0842 x1  4 Cu 2.50, 4 Hf 2.76

E_tot ... -6.09 eV per atom
Total moment ... 0.00 Bohr magnetons per cell

***

# 15
Material: Nd12Co6Sn
Method: DFT, PBE
State: optimized geometry

Lattice parameters (Å, degrees): 9.9802 9.9802 9.9802 90.00 90.00 90.00
With the nearest neighbours (Å) after each atom.
Space group Im-3 (No. 204)
Unique sites:
Nd: 0.0000 0.3051 0.1930 x24  3 Co 2.76-2.95
Co: 0.0000 0.1111 0.5000 x12  1 Co 2.22
Sn: 0.0000 0.0000 0.0000 x2  12 Nd 3.60

E_tot ... -5.64 eV per atom
Total moment ... 0.03 Bohr magnetons per cell

***

# 16
Material: TbOsPb2O6
Method: DFT, PBE
State: optimized geometry

Lattice parameters (Å, degrees): 5.9105 5.9105 13.9786 90.00 90.00 120.00
With the nearest neighbours (Å) after each atom.
Space group R-3 (No. 148, hexagonal axes)
Unique sites:
Tb: 0.0000 0.0000 0.0000 x3  6 O 2.25
Os: 0.0000 0.0000 0.5000 x3  6 O 1.97
Pb: 0.0000 0.0000 0.2579 x6  6 O 2.54-2.76
O: 0.0301 0.5863 0.2482 x18  1 Os 1.97

Polymorph energy (0 for the lowest one) ... 0 meV/atom
Total moment ... 8.70 Bohr magnetons per cell

***

# 17
Material: HoScIn4Pt2
Method: DFT, PBE
State: optimized geometry

Lattice parameters (Å, degrees): 7.3338 4.4648 10.3934 90.00 90.00 90.00
With the nearest neighbours (Å) after each atom.
Space group Amm2 (No. 38)
Unique sites:
Ho: 0.0000 0.0000 0.0000 x2  3 Pt 2.93-3.18, 4 In 3.19
Sc: 0.5000 0.0000 0.8490 x2  1 Pt 2.87, 4 In 3.15
In: 0.2087 0.0000 0.2892 x4  3 Pt 2.73-2.81, 1 In 2.90
In: 0.2989 0.0000 0.5606 x4  3 Pt 2.73-2.76, 2 In 2.90-2.95
Pt: 0.0000 0.0000 0.7177 x2  6 In 2.73-2.81, 1 Ho 2.93
Pt: 0.5000 0.0000 0.1254 x2  6 In 2.73-2.76, 1 Sc 2.87

E_tot ... -4.92 eV per atom
Total moment ... 0.02 Bohr magnetons per cell

***

# 18
Material: RbTb2CuTeS3
Method: DFT, PBE
State: optimized geometry

Lattice parameters (Å, degrees): 4.0991 14.1663 14.2237 90.00 90.00 90.00
With the nearest neighbours (Å) after each atom.
Space group Cmcm (No. 63)
Unique sites:
Rb: 0.0000 0.1344 0.2500 x4  4 S 3.32, 2 Te 3.40, 2 Cu 3.49
Tb: 0.0000 0.3668 0.0512 x8  5 S 2.76-2.88, 1 Te 3.03
Cu: 0.0000 0.1665 0.7500 x4  2 S 2.38, 2 Te 2.57
Te: 0.0000 0.4432 0.2500 x4  2 Cu 2.57
S: 0.0000 0.0000 0.0000 x4  4 Tb 2.88
S: 0.0000 0.2513 0.6059 x8  1 Cu 2.38

E_tot ... -5.18 eV per atom
Total moment ... 0.01 Bohr magnetons per cell

***

# 19
Material: BPt3Pb
Method: DFT, PBE
State: optimized geometry

Lattice parameters (Å, degrees): 5.9879 5.9879 4.5906 90.00 90.00 90.00
With the nearest neighbours (Å) after each atom.
Space group P4/mbm (No. 127)
Unique sites:
B: 0.0000 0.0000 0.0000 x2  6 Pt 2.15-2.30
Pt: 0.0000 0.0000 0.5000 x2  2 B 2.30
Pt: 0.2075 0.2925 0.0000 x4  2 B 2.15
Pb: 0.0000 0.5000 0.5000 x2  8 Pt 2.89-2.99

E_tot ... -5.75 eV per atom
Total moment ... 0.00 Bohr magnetons per cell

***

# 20
Material: AcZn
Method: DFT, PBE
State: optimized geometry

Lattice parameters (Å, degrees): 4.6824 9.5648 5.4403 90.00 90.00 90.00
With the nearest neighbours (Å) after each atom.
Space group Pmm2 (No. 25)
Unique sites:
Ac: 0.0000 0.0000 0.0000 x1  4 Zn 3.34, 4 Ac 3.56-3.62
Ac: 0.0000 0.3144 0.4958 x2  6 Zn 3.23-3.60, 1 Ac 3.55
Ac: 0.5000 0.0000 0.5081 x1  4 Zn 3.52-3.71, 8 Ac 3.56-3.81
Zn: 0.0000 0.5000 0.9909 x1  2 Zn 2.56
Zn: 0.5000 0.2491 0.9847 x2  1 Zn 2.63
Zn: 0.5000 0.5000 0.1828 x1  4 Zn 2.56-2.63

Energy relative to the elements ... -0.0394 eV per atom
Total moment ... 0.00 Bohr magnetons per cell

***

# 21
Material: AlNiHgOs
Method: DFT, PBE
State: optimized geometry

Lattice parameters (Å, degrees): 6.2373 6.2373 6.2373 90.00 90.00 90.00
With the nearest neighbours (Å) after each atom.
Space group F-43m (No. 216)
Unique sites:
Al: 0.0000 0.0000 0.0000 x4  4 Hg 2.70, 4 Ni 2.70
Ni: 0.2500 0.2500 0.2500 x4  4 Os 2.70, 4 Al 2.70
Hg: 0.2500 0.2500 0.7500 x4  4 Os 2.70, 4 Al 2.70
Os: 0.0000 0.0000 0.5000 x4  4 Hg 2.70, 4 Ni 2.70

E_tot ... -4.71 eV per atom
Total moment ... 0.01 Bohr magnetons per cell

***

# 22
Material: LuCdSiNi
Method: DFT, PBE
State: optimized geometry

Lattice parameters (Å, degrees): 6.5308 6.5308 6.5308 90.00 90.00 90.00
With the nearest neighbours (Å) after each atom.
Space group F-43m (No. 216)
Unique sites:
Lu: 0.0000 0.0000 0.0000 x4  4 Si 2.83, 4 Cd 2.83
Cd: 0.2500 0.2500 0.7500 x4  4 Ni 2.83, 4 Lu 2.83
Si: 0.2500 0.2500 0.2500 x4  4 Ni 2.83, 4 Lu 2.83
Ni: 0.0000 0.0000 0.5000 x4  4 Cd 2.83, 4 Si 2.83

E_tot ... -4.23 eV per atom
Total moment ... 0.07 Bohr magnetons per cell

***

# 23
Material: NpCo2
Method: DFT, PBE
State: optimized geometry

Lattice parameters (Å, degrees): 4.9436 4.9436 4.1507 90.00 90.00 90.00
With the nearest neighbours (Å) after each atom.
Space group P4_2/mnm (No. 136)
Unique sites:
Np: 0.0000 0.0000 0.0000 x2  6 Co 2.28-2.40
Co: 0.1736 0.1736 0.5000 x4  3 Np 2.28-2.40, 1 Co 2.43

Energy relative to the elements ... 1.0084 eV per atom
Total moment ... 5.75 Bohr magnetons per cell

***

# 24
Material: KRbCuP
Method: DFT, PBE
State: optimized geometry

Lattice parameters (Å, degrees): 5.8480 7.4517 10.0577 90.00 90.00 90.00
With the nearest neighbours (Å) after each atom.
Space group Ama2 (No. 40)
Unique sites:
K: 0.2500 0.1436 0.0000 x4  4 P 3.38-3.53, 3 Rb 3.40-3.71, 2 Cu 3.47, 2 K 3.62
Rb: 0.2500 0.1431 0.3378 x4  3 K 3.40-3.71, 4 P 3.41-3.51, 4 Cu 3.48-3.78, 2 Rb 3.62
Cu: 0.0000 0.0000 0.6679 x4  2 P 2.25
P: 0.2500 0.2292 0.6703 x4  2 Cu 2.25

E_tot ... -3.10 eV per atom

***

# 25
Material: Pr2Al5Ag3
Method: DFT, PBE
State: optimized geometry

Lattice parameters (Å, degrees): 10.7971 12.4549 6.1945 90.00 90.00 90.00
With the nearest neighbours (Å) after each atom.
Space group Ibam (No. 72)
Unique sites:
Pr: 0.2378 0.1298 0.0000 x8  10 Al 3.27-3.47, 6 Ag 3.35-3.61
Al: 0.0000 0.0000 0.2500 x4  4 Ag 2.59
Al: 0.0000 0.2673 0.2500 x8  3 Ag 2.62-2.90, 2 Al 2.68
Al: 0.1490 0.3864 0.0000 x8  3 Ag 2.53-2.64, 2 Al 2.68
Ag: 0.0000 0.5000 0.2500 x4  6 Al 2.64-2.90
Ag: 0.1179 0.1322 0.5000 x8  5 Al 2.53-2.62

E_tot ... -4.07 eV per atom
Total moment ... 0.03 Bohr magnetons per cell